# 1
DFT (PBE) results for an optimized crystal structure of Dy2HoTm6Sc3.

Properties
For the volume, the calculation gives 28.91 Å³ per atom. Its formation energy is 0.0438 eV/atom. For the density of states at the Fermi level, the calculation gives 18.6 states/eV/cell. The space group is No. 12.

Cell: 5.9785 5.9785 11.3762 Å, 95.02 95.02 119.95°
Sites, in units of the cell vectors:
Dy (0.1667, 0.8333, 0.0000)
Dy (0.8333, 0.1667, 0.0000)
Ho (0.5000, 0.5000, 0.0000)
Tm (0.0803, 0.4136, 0.7414)
Tm (0.2530, 0.2530, 0.2587)
Tm (0.4136, 0.0803, 0.7414)
Tm (0.5864, 0.9197, 0.2586)
Tm (0.7470, 0.7470, 0.7413)
Tm (0.9197, 0.5864, 0.2586)
Sc (0.0000, 0.0000, 0.5000)
Sc (0.3334, 0.6666, 0.5000)
Sc (0.6666, 0.3334, 0.5000)


# 2
DFT (PBE) results for an optimized crystal structure of GaClO.

Properties
For the volume, the calculation gives 20.73 Å³ per atom. For the density of states at the Fermi level, the calculation gives 0.0 states/eV/cell. The space group is No. 12. The formation energy without anion corrections is -1.4358 eV per atom.

Cell: 6.0435 6.0435 6.6117 Å, 108.07 108.07 32.97°
Sites, in units of the cell vectors:
Ga (0.1433, 0.1433, 0.4723)
Ga (0.8567, 0.8567, 0.5277)
Cl (0.0760, 0.0760, 0.7595)
Cl (0.9240, 0.9240, 0.2405)
O (0.3266, 0.3266, 0.6169)
O (0.6734, 0.6734, 0.3831)


# 3
DFT (PBE) results for an optimized crystal structure of La2TmTl.

Properties
For the volume, the calculation gives 30.94 Å³ per atom. Its formation energy is -0.2008 eV/atom. For the density of states at the Fermi level, the calculation gives 5.9 states/eV/cell. As for the energy relative to the lowest polymorph listed for this composition: 0.00 eV per formula unit. The space group is No. 123.

Cell: 4.9053 4.9053 5.1433 Å, 90.00 90.00 90.00°
Sites, in units of the cell vectors:
La (0.0000, 0.5000, 0.0000)
La (0.5000, 0.0000, 0.0000)
Tm (0.0000, 0.0000, 0.5000)
Tl (0.5000, 0.5000, 0.5000)


- Number 3 is which compound?
  La2TmTl